(1)
Here is a relaxed structure of LaBe2TlF8 from the Alexandria database. Energies are from PBE-GGA.

```
LaBe2TlF8
1.0
2.627 1.517 7.926
-2.627 1.517 7.926
0.000 -3.033 7.926
La Be Tl F
1 2 1 8
direct
0.000 0.000 0.000
0.249 0.249 0.249
0.751 0.751 0.751
0.500 0.500 0.500
0.003 0.445 0.726
0.186 0.186 0.186
0.274 0.997 0.555
0.445 0.726 0.003
0.555 0.274 0.997
0.726 0.003 0.445
0.814 0.814 0.814
0.997 0.555 0.274
```

Calculated values
raw formation energy = -3.305 eV per atom
magnetic moment = 0.0 μB/cell
E_tot = -69.383 eV for the cell shown
SG = R-3


(2)
Here is a relaxed structure of LiBeF from the Alexandria database. Energies are from PBE-GGA.

```
LiBeF
1.0
9.623 0.000 0.000
0.000 1.210 3.149
0.000 -1.210 3.149
Li Be F
2 2 2
direct
0.188 0.000 0.000
0.812 0.000 0.000
0.000 0.735 0.735
0.500 0.999 0.999
0.381 0.498 0.498
0.619 0.498 0.498
```

Calculated values
raw formation energy = -1.165 eV per atom
magnetic moment = 0.0 μB/cell
E_tot = -22.011 eV for the cell shown
SG = Amm2


(3)
Here is a relaxed structure of Li2Be2F7 from the Alexandria database. Energies are from PBE-GGA.

```
Li2Be2F7
1.0
2.915 -4.310 0.000
2.915 4.310 0.000
-2.024 0.000 6.271
Li Be F
2 2 7
direct
0.228 0.772 0.000
0.772 0.228 0.000
0.128 0.128 0.745
0.872 0.872 0.255
0.000 0.000 0.500
0.095 0.401 0.827
0.107 0.107 0.154
0.401 0.095 0.827
0.599 0.905 0.173
0.893 0.893 0.846
0.905 0.599 0.173
```

Calculated values
excess energy over the best structure of this formula in the dataset = 0.0141 eV/atom
raw formation energy = -2.789 eV per atom
magnetic moment = 1.1 μB/cell
E_tot = -55.058 eV for the cell shown
SG = C2/m


(4)
Here is a relaxed structure of Li2Be2F7 from the Alexandria database. Energies are from PBE-GGA.

```
Li2Be2F7
1.0
3.295 -4.000 0.000
3.295 4.000 0.000
-1.287 0.000 4.532
Li Be F
2 2 7
direct
0.186 0.814 0.000
0.814 0.186 0.000
0.286 0.286 0.583
0.714 0.714 0.417
0.114 0.114 0.284
0.123 0.434 0.778
0.434 0.123 0.778
0.500 0.500 0.500
0.566 0.877 0.222
0.877 0.566 0.222
0.886 0.886 0.716
```

Calculated values
excess energy over the best structure of this formula in the dataset = 0.0000 eV/atom
raw formation energy = -2.803 eV per atom
magnetic moment = 1.1 μB/cell
E_tot = -55.213 eV for the cell shown
SG = C2/m